## CoRe6Ni (PBE-GGA)

Data for a relaxed CoRe6Ni crystal.

energy relative to the elements	-0.092	eV per atom
total magnetization	0.01	Bohr magnetons per cell

abc: 5.3969 5.3969 4.3437
angles: 90.00 90.00 120.00
Space group P-6m2 (No. 187)
One atom of each set of equivalent atoms:
Co: 0.0000 0.0000 0.0000 x1
Re: 0.3358 0.1679 0.5000 x3
Re: 0.5005 0.0010 0.0000 x3
Ni: 0.3333 0.6667 0.5000 x1

## DyHo2S3 (PBE-GGA)

Data for a relaxed DyHo2S3 crystal.

uncorrected energy	-6.34	eV/atom
total magnetization	0.01	Bohr magnetons per cell

abc: 3.8830 3.8830 9.5248
angles: 90.00 90.00 120.00
Space group P-3m1 (No. 164)
One atom of each set of equivalent atoms:
Dy: 0.0000 0.0000 0.0000 x1
Ho: 0.3333 0.6667 0.6667 x2
S: 0.0000 0.0000 0.5000 x1
S: 0.3333 0.6667 0.1684 x2

## Zr4Co3 (PBE-GGA)

Data for a relaxed Zr4Co3 crystal.

energy relative to the elements	-0.187	eV per atom
total magnetization	0.01	Bohr magnetons per cell
E above lowest polymorph	0	meV/atom

abc: 7.9180 7.9180 4.4528
angles: 90.00 90.00 120.00
Space group P6_3/m (No. 176)
One atom of each set of equivalent atoms:
Zr: 0.0133 0.2688 0.2500 x6
Zr: 0.3333 0.6667 0.7500 x2
Co: 0.1047 0.6276 0.2500 x6

## PrSi4Ni3 (PBE-GGA)

Data for a relaxed PrSi4Ni3 crystal.

uncorrected energy	-5.82	eV/atom
total magnetization	0.00	Bohr magnetons per cell

abc: 4.279 4.088 6.975
angles: 90.00 92.82 90.00
Space group Pm (No. 6)
One atom of each set of equivalent atoms:
Pr: 0.000 0.000 0.000 x1
Si: 0.198 0.500 0.709 x1
Si: 0.514 0.000 0.689 x1
Si: 0.515 0.000 0.334 x1
Si: 0.998 0.500 0.317 x1
Ni: 0.027 0.000 0.506 x1
Ni: 0.487 0.500 0.187 x1
Ni: 0.697 0.500 0.580 x1

Listing mass density for the structures above in their given order: 18.72, 7.86, 7.44, 5.85 g/cm³.